# CaPuPb2O8 (PBE-GGA, optimized geometry)
# * raw formation energy: -1784 meV/atom
# * M_tot: 0.16 μB per atom
# * energy: -84.821 eV for the cell shown
data_CaPuPb2O8
_chemical_formula_sum 'Ca1 Pu1 Pb2 O8'
_space_group_name_H-M_alt 'P 1 2/m 1'
_space_group_IT_number 10
_space_group_name_Hall '-P 2y'
_cell_length_a 5.1907
_cell_length_b 6.7938
_cell_length_c 5.1969
_cell_angle_alpha 90.00
_cell_angle_beta 90.31
_cell_angle_gamma 90.00
loop_
_atom_site_label
_atom_site_type_symbol
_atom_site_fract_x
_atom_site_fract_y
_atom_site_fract_z
_atom_site_occupancy
Ca1 Ca 0.0000 0.0000 0.0000 1
Pu1 Pu 0.0000 0.5000 0.0000 1
Pb1 Pb 0.5000 0.2488 0.5000 1
O1 O 0.1848 0.2853 0.1832 1
O2 O 0.3014 0.5000 0.6969 1
O3 O 0.3114 0.0000 0.6869 1